1.
Below is a relaxed structure of SmPuIrPd, with properties calculated at the GGA-PBE level.

The total magnetic moment is 1.30 μB/atom. For the volume, the calculation gives 86.8 Å³ per cell. The calculation puts the formation enthalpy at 0 K at -0.5714 eV per atom. Its energy above the most stable polymorph in this dataset is 2.7 kJ/mol of formula units. Its density of states at the Fermi level is 10.95 states/eV per cell.

The structure belongs to space group P4mm (No. 99); the cell edges are 3.490, 3.490 and 7.124 Å and the angles 90.00°, 90.00° and 90.00°. Symmetry generates all atoms from Sm at (0.000, 0.000, 0.000), Pu at (0.000, 0.000, 0.523), Ir at (0.500, 0.500, 0.746) and Pd at (0.500, 0.500, 0.259).



2.
Below is a relaxed structure of SmPuIrPd, with properties calculated at the GGA-PBE level.

The total magnetic moment is 1.36 μB/atom. For the volume, the calculation gives 344.1 Å³ per cell. The calculation puts the formation enthalpy at 0 K at -0.5785 eV per atom. Its energy above the most stable polymorph in this dataset is 0.0 kJ/mol of formula units. Its density of states at the Fermi level is 43.27 states/eV per cell.

The structure belongs to space group F-43m (No. 216); the cell edges are 7.008, 7.008 and 7.008 Å and the angles 90.00°, 90.00° and 90.00°. Symmetry generates all atoms from Sm at (0.000, 0.000, 0.000), Pu at (0.000, 0.000, 0.500), Ir at (0.250, 0.250, 0.250) and Pd at (0.250, 0.250, 0.750).



3.
Below is a relaxed structure of PuThIrPd, with properties calculated at the GGA-PBE level.

The total magnetic moment is 1.44 μB/atom. For the volume, the calculation gives 355.2 Å³ per cell. The calculation puts the formation enthalpy at 0 K at -0.5983 eV per atom. Its density of states at the Fermi level is 47.00 states/eV per cell.

The structure belongs to space group F-43m (No. 216); the cell edges are 7.082, 7.082 and 7.082 Å and the angles 90.00°, 90.00° and 90.00°. Symmetry generates all atoms from Pu at (0.000, 0.000, 0.000), Th at (0.000, 0.000, 0.500), Ir at (0.250, 0.250, 0.250) and Pd at (0.250, 0.250, 0.750).



4.
Below is a relaxed structure of PuZnIrPd, with properties calculated at the GGA-PBE level.

The total magnetic moment is 1.17 μB/atom. For the volume, the calculation gives 284.6 Å³ per cell. The calculation puts the formation enthalpy at 0 K at -0.3523 eV per atom. Its density of states at the Fermi level is 29.45 states/eV per cell.

The structure belongs to space group F-43m (No. 216); the cell edges are 6.578, 6.578 and 6.578 Å and the angles 90.00°, 90.00° and 90.00°. Symmetry generates all atoms from Pu at (0.000, 0.000, 0.000), Zn at (0.000, 0.000, 0.500), Ir at (0.250, 0.250, 0.750) and Pd at (0.250, 0.250, 0.250).



5.
Below is a relaxed structure of RbIrPd2, with properties calculated at the GGA-PBE level.

The total magnetic moment is 0.00 μB/atom. For the volume, the calculation gives 488.7 Å³ per cell. The calculation puts the formation enthalpy at 0 K at 0.6514 eV per atom. Its energy above the most stable polymorph in this dataset is 0.0 kJ/mol of formula units. Its density of states at the Fermi level is 19.65 states/eV per cell.

The structure belongs to space group I4_1/amd (No. 141, origin choice 2); the cell edges are 5.457, 5.457 and 16.413 Å and the angles 90.00°, 90.00° and 90.00°. Symmetry generates all atoms from Rb at (0.000, 0.250, 0.375), Ir at (0.000, 0.250, 0.875) and Pd at (0.000, 0.000, 0.000).



6.
Below is a relaxed structure of RbIr2Pd, with properties calculated at the GGA-PBE level.

The total magnetic moment is 0.67 μB/atom. For the volume, the calculation gives 299.5 Å³ per cell. The calculation puts the formation enthalpy at 0 K at 1.5371 eV per atom. Its energy above the most stable polymorph in this dataset is 243.1 kJ/mol of formula units. Its density of states at the Fermi level is 39.32 states/eV per cell.

The structure belongs to space group Fm-3m (No. 225); the cell edges are 6.691, 6.691 and 6.691 Å and the angles 90.00°, 90.00° and 90.00°. Symmetry generates all atoms from Rb at (0.000, 0.000, 0.000), Ir at (0.250, 0.250, 0.250) and Pd at (0.000, 0.000, 0.500).